Density functional theory data (PBE) for a geometry-optimized CsBaSb2 structure.

## Properties
ρ ... 5.2 Mg/m³
E_tot ... -3.094 eV/atom
E_form (uncorrected) ... -339 meV/atom
Spin magnetization ... 0.0 μB per cell

Cell: 8.6953 8.6953 8.6953 Å, 90.00 90.00 90.00°
With the nearest neighbours (Å) after each atom.
Space group Fm-3m (No. 225)
Symmetry-distinct sites (fractional):
Cs: 0.0000 0.0000 0.0000 x4  8 Sb 3.77
Ba: 0.0000 0.0000 0.5000 x4  8 Sb 3.77
Sb: 0.2500 0.2500 0.2500 x8  4 Ba 3.77, 4 Cs 3.77